Entry 1:
# PrH6IrPd

A relaxed PrH6IrPd crystal (PBE, Alexandria via LeMat-Bulk).

Cell: 4.8647 4.8651 4.2463 Å, 90.00 90.00 59.99°
Positions (direct):
Pr 0.0000 0.0000 0.0000
H 0.4874 0.0254 0.2342
H 0.0254 0.4872 0.2342
H 0.0254 0.4874 0.7658
H 0.4871 0.0254 0.7658
H 0.4871 0.4875 0.2342
H 0.4874 0.4872 0.7658
Pd 0.6666 0.6667 0.5000
Ir 0.3334 0.3333 0.5000

Calculated values
Total moment in μB per formula unit: 0.00
DFT total energy in eV/atom: -4.648

Entry 2:
# HIr2PdPt

A relaxed HIr2PdPt crystal (PBE, Alexandria via LeMat-Bulk).

Cell: 3.9769 3.9699 3.9769 Å, 90.00 90.00 90.00°
Positions (direct):
Ir 0.0000 0.0000 0.5000
Ir 0.5000 0.0000 0.0000
Pd 0.5000 0.5000 0.5000
Pt 0.0000 0.5000 0.0000
H 0.0000 0.0000 0.0000

Calculated values
Total moment in μB per formula unit: 0.00
DFT total energy in eV/atom: -6.223
E above lowest polymorph in eV/atom: 0.0301

Entry 3:
# HIr2PdPt

A relaxed HIr2PdPt crystal (PBE, Alexandria via LeMat-Bulk).

Cell: 3.9610 3.9610 3.9905 Å, 90.00 90.00 90.00°
Positions (direct):
Ir 0.5000 0.0000 0.0000
Ir 0.0000 0.5000 0.0000
H 0.0000 0.0000 0.0000
Pd 0.0000 0.0000 0.5000
Pt 0.5000 0.5000 0.5000

Calculated values
Total moment in μB per formula unit: 0.00
DFT total energy in eV/atom: -6.254
E above lowest polymorph in eV/atom: 0.0000

What is the DFT total energy in the second record?
-6.223 eV/atom

What did the third record say?
# HIr2PdPt

A relaxed HIr2PdPt crystal (PBE, Alexandria via LeMat-Bulk).

Cell: 3.9610 3.9610 3.9905 Å, 90.00 90.00 90.00°
Positions (direct):
Ir 0.5000 0.0000 0.0000
Ir 0.0000 0.5000 0.0000
H 0.0000 0.0000 0.0000
Pd 0.0000 0.0000 0.5000
Pt 0.5000 0.5000 0.5000

Calculated values
Total moment in μB per formula unit: 0.00
DFT total energy in eV/atom: -6.254
E above lowest polymorph in eV/atom: 0.0000

Number 3 is which compound?
HIr2PdPt